Entry 1:
First-principles (GGA-PBE) data for Pm5SmSc2 after structural relaxation, as listed in the Alexandria database.

The structure belongs to space group Pbam (No. 55); the cell edges are 7.093, 14.187 and 5.011 Å and the angles 90.00°, 90.00° and 90.00°. The distinct sites, in fractional coordinates, are Pm at (0.000, 0.000, 0.000), Pm at (0.000, 0.250, 0.000), Pm at (0.249, 0.375, 0.500), Sm at (0.000, 0.500, 0.000) and Sc at (0.250, 0.125, 0.500).

The value obtained for the formation energy from the elements is 0.04 eV/atom. The calculation puts the relative energy among the computed polymorphs at 0.000 eV/f.u.



Entry 2:
First-principles (GGA-PBE) data for ZnRhOF2 after structural relaxation, as listed in the Alexandria database.

The structure belongs to space group P4/mmm (No. 123); the cell edges are 3.897, 3.897 and 4.183 Å and the angles 90.00°, 90.00° and 90.00°. The distinct sites, in fractional coordinates, are Zn at (0.000, 0.000, 0.000), Rh at (0.500, 0.500, 0.500), O at (0.000, 0.000, 0.500) and F at (0.000, 0.500, 0.000).

The value obtained for the formation energy (no corrections) is -678 meV per atom. The calculation puts the relative energy among the computed polymorphs at 0.347 eV/f.u.



Entry 3:
First-principles (GGA-PBE) data for Ce3InAs2Rh9 after structural relaxation, as listed in the Alexandria database.

The structure belongs to space group P-3m1 (No. 164); the cell edges are 7.2320, 7.2320 and 6.7830 Å and the angles 90.00°, 90.00° and 120.00°. The distinct sites, in fractional coordinates, are Ce at (0.0000, 0.0000, 0.0000), Ce at (0.3333, 0.6667, 0.6845), In at (0.0000, 0.0000, 0.5000), As at (0.3333, 0.6667, 0.1444), Rh at (0.0000, 0.5000, 0.0000) and Rh at (0.1976, 0.3952, 0.3868).

The value obtained for the formation energy from the elements is -0.32 eV/atom.



Entry 4:
First-principles (GGA-PBE) data for PrEuSbPt after structural relaxation, as listed in the Alexandria database.

The structure belongs to space group F-43m (No. 216); the cell edges are 7.561, 7.561 and 7.561 Å and the angles 90.00°, 90.00° and 90.00°. The distinct sites, in fractional coordinates, are Pr at (0.000, 0.000, 0.000), Eu at (0.000, 0.000, 0.500), Sb at (0.250, 0.250, 0.750) and Pt at (0.250, 0.250, 0.250).

The value obtained for the formation energy (no corrections) is -909 meV per atom.



Entry 5:
First-principles (GGA-PBE) data for Ti2TlTcAg after structural relaxation, as listed in the Alexandria database.

The structure belongs to space group P4/mmm (No. 123); the cell edges are 5.012, 5.012 and 4.895 Å and the angles 90.00°, 90.00° and 90.00°. The distinct sites, in fractional coordinates, are Ti at (0.000, 0.500, 0.000), Tl at (0.000, 0.000, 0.000), Tc at (0.500, 0.500, 0.500) and Ag at (0.000, 0.000, 0.500).

The value obtained for the formation energy from the elements is 1.85 eV/atom.



Entry 6:
First-principles (GGA-PBE) data for NaBiSb2 after structural relaxation, as listed in the Alexandria database.

The structure belongs to space group P4/mmm (No. 123); the cell edges are 4.852, 4.852 and 4.818 Å and the angles 90.00°, 90.00° and 90.00°. The distinct sites, in fractional coordinates, are Na at (0.000, 0.000, 0.000), Bi at (0.500, 0.500, 0.000) and Sb at (0.000, 0.500, 0.500).

The value obtained for the formation energy (no corrections) is -72 meV per atom.



| no. | final energy (eV/atom) | N(E_F) (states/eV/atom) |
| --- | --- | --- |
| 1 | -5.1067 | 1.314 |
| 2 | -4.1437 | 1.033 |
| 3 | -6.7199 | 0.885 |
| 4 | -7.2128 | 0.135 |
| 5 | -4.4238 | 1.700 |
| 6 | -3.4330 | 0.415 |